Compound: Ac2GaH
Source: Alexandria via LeMat-Bulk
Functional: GGA-PBE
Structure: relaxed

```
data_Ac2GaH
_symmetry_space_group_name_H-M 'R -3 m'
_symmetry_Int_Tables_number 166
_symmetry_space_group_name_Hall '-R 3 2"'
_cell_length_a 4.0627
_cell_length_b 4.0627
_cell_length_c 27.5369
_cell_angle_alpha 90.00
_cell_angle_beta 90.00
_cell_angle_gamma 120.00
loop_
_atom_site_label
_atom_site_type_symbol
_atom_site_fract_x
_atom_site_fract_y
_atom_site_fract_z
_atom_site_occupancy
Ac1 Ac 0.0000 0.0000 0.0847 1
Ga1 Ga 0.0000 0.0000 0.5000 1
H1 H 0.0000 0.0000 0.0000 1
```

Properties
Crystal system: trigonal
Total moment: 0.00 μB/atom
Electronic total energy: -3.7527 eV per atom
Energy above the most stable polymorph in this dataset: 299 meV/atom
V: 131.2 Å³/f.u.

***

Compound: TaWCl2
Source: Alexandria via LeMat-Bulk
Functional: GGA-PBE
Structure: relaxed

```
data_TaWCl2
_symmetry_space_group_name_H-M 'C m m m'
_symmetry_Int_Tables_number 65
_symmetry_space_group_name_Hall '-C 2 2'
_cell_length_a 2.8415
_cell_length_b 5.4397
_cell_length_c 11.0715
_cell_angle_alpha 90.00
_cell_angle_beta 90.00
_cell_angle_gamma 90.00
loop_
_atom_site_label
_atom_site_type_symbol
_atom_site_fract_x
_atom_site_fract_y
_atom_site_fract_z
_atom_site_occupancy
Ta1 Ta 0.0000 0.0000 0.0000 1
W1 W 0.0000 0.0000 0.5000 1
Cl1 Cl 0.0000 0.5000 0.1832 1
```

Properties
Crystal system: orthorhombic
Total moment: 0.23 μB/atom
Electronic total energy: -6.5308 eV per atom
Energy above the most stable polymorph in this dataset: 1011 meV/atom
V: 85.6 Å³/f.u.
Formation energy from raw total energies: 229 kJ/mol of formula units

***

Compound: Er2ThNi
Source: Alexandria via LeMat-Bulk
Functional: GGA-PBE
Structure: relaxed

```
data_Er2ThNi
_symmetry_space_group_name_H-M 'P 4/m m m'
_symmetry_Int_Tables_number 123
_symmetry_space_group_name_Hall '-P 4 2'
_cell_length_a 3.4268
_cell_length_b 3.4268
_cell_length_c 8.5051
_cell_angle_alpha 90.00
_cell_angle_beta 90.00
_cell_angle_gamma 90.00
loop_
_atom_site_label
_atom_site_type_symbol
_atom_site_fract_x
_atom_site_fract_y
_atom_site_fract_z
_atom_site_occupancy
Er1 Er 0.0000 0.0000 0.1889 1
Th1 Th 0.5000 0.5000 0.5000 1
Ni1 Ni 0.5000 0.5000 0.0000 1
```

Properties
Crystal system: tetragonal
Total moment: 0.00 μB/atom
Electronic total energy: -5.7600 eV per atom
Energy above the most stable polymorph in this dataset: 62 meV/atom
E_form: -0.1782 eV per atom
V: 99.9 Å³/f.u.

***

Compound: Na3TcAg
Source: Alexandria via LeMat-Bulk
Functional: GGA-PBE
Structure: relaxed

```
data_Na3TcAg
_symmetry_space_group_name_H-M 'P m -3 m'
_symmetry_Int_Tables_number 221
_symmetry_space_group_name_Hall '-P 4 2 3'
_cell_length_a 5.4519
_cell_length_b 5.4519
_cell_length_c 5.4519
_cell_angle_alpha 90.00
_cell_angle_beta 90.00
_cell_angle_gamma 90.00
loop_
_atom_site_label
_atom_site_type_symbol
_atom_site_fract_x
_atom_site_fract_y
_atom_site_fract_z
_atom_site_occupancy
Na1 Na 0.0000 0.0000 0.5000 1
Tc1 Tc 0.5000 0.5000 0.5000 1
Ag1 Ag 0.0000 0.0000 0.0000 1
```

Properties
Crystal system: cubic
Total moment: 0.70 μB/atom
Electronic total energy: -2.3245 eV per atom
Energy above the most stable polymorph in this dataset: 0 meV/atom
E_form: 1.1103 eV per atom
V: 162.0 Å³/f.u.

***

Compound: Pr2HN
Source: Alexandria via LeMat-Bulk
Functional: GGA-PBE
Structure: relaxed

```
data_Pr2HN
_symmetry_space_group_name_H-M 'R 3 m'
_symmetry_Int_Tables_number 160
_symmetry_space_group_name_Hall 'R 3 -2"'
_cell_length_a 3.6327
_cell_length_b 3.6327
_cell_length_c 18.8069
_cell_angle_alpha 90.00
_cell_angle_beta 90.00
_cell_angle_gamma 120.00
loop_
_atom_site_label
_atom_site_type_symbol
_atom_site_fract_x
_atom_site_fract_y
_atom_site_fract_z
_atom_site_occupancy
Pr1 Pr 0.0000 0.0000 0.0000 1
Pr2 Pr 0.0000 0.0000 0.1836 1
H1 H 0.0000 0.0000 0.4191 1
N1 N 0.0000 0.0000 0.5891 1
```

Properties
Crystal system: trigonal
Total moment: 0.00 μB/atom
Electronic total energy: -6.1274 eV per atom
V: 71.6 Å³/f.u.

***

Compound: TbY2Pu
Source: Alexandria via LeMat-Bulk
Functional: GGA-PBE
Structure: relaxed

```
data_TbY2Pu
_symmetry_space_group_name_H-M 'P 4/m m m'
_symmetry_Int_Tables_number 123
_symmetry_space_group_name_Hall '-P 4 2'
_cell_length_a 4.9822
_cell_length_b 4.9822
_cell_length_c 5.0126
_cell_angle_alpha 90.00
_cell_angle_beta 90.00
_cell_angle_gamma 90.00
loop_
_atom_site_label
_atom_site_type_symbol
_atom_site_fract_x
_atom_site_fract_y
_atom_site_fract_z
_atom_site_occupancy
Tb1 Tb 0.0000 0.0000 0.0000 1
Y1 Y 0.0000 0.5000 0.5000 1
Pu1 Pu 0.5000 0.5000 0.0000 1
```

Properties
Crystal system: tetragonal
Total moment: 1.57 μB/atom
Electronic total energy: -7.8205 eV per atom
Energy above the most stable polymorph in this dataset: 52 meV/atom
E_form: 0.1521 eV per atom
V: 124.4 Å³/f.u.

***

Compound: InGa2Bi
Source: Alexandria via LeMat-Bulk
Functional: GGA-PBE
Structure: relaxed

```
data_InGa2Bi
_symmetry_space_group_name_H-M 'I -4 2 d'
_symmetry_Int_Tables_number 122
_symmetry_space_group_name_Hall 'I -4 2bw'
_cell_length_a 6.5225
_cell_length_b 6.5225
_cell_length_c 12.2845
_cell_angle_alpha 90.00
_cell_angle_beta 90.00
_cell_angle_gamma 90.00
loop_
_atom_site_label
_atom_site_type_symbol
_atom_site_fract_x
_atom_site_fract_y
_atom_site_fract_z
_atom_site_occupancy
In1 In 0.0000 0.0000 0.0000 1
Ga1 Ga 0.2433 0.2500 0.1250 1
Bi1 Bi 0.0000 0.0000 0.5000 1
```

Properties
Crystal system: tetragonal
Total moment: 0.00 μB/atom
Electronic total energy: -2.9833 eV per atom
Energy above the most stable polymorph in this dataset: 127 meV/atom
E_form: 0.1850 eV per atom
V: 130.7 Å³/f.u.

***

Compound: NaHg3As
Source: Alexandria via LeMat-Bulk
Functional: GGA-PBE
Structure: relaxed

```
data_NaHg3As
_symmetry_space_group_name_H-M 'P m -3 m'
_symmetry_Int_Tables_number 221
_symmetry_space_group_name_Hall '-P 4 2 3'
_cell_length_a 5.4501
_cell_length_b 5.4501
_cell_length_c 5.4501
_cell_angle_alpha 90.00
_cell_angle_beta 90.00
_cell_angle_gamma 90.00
loop_
_atom_site_label
_atom_site_type_symbol
_atom_site_fract_x
_atom_site_fract_y
_atom_site_fract_z
_atom_site_occupancy
Na1 Na 0.0000 0.0000 0.0000 1
Hg1 Hg 0.0000 0.5000 0.5000 1
As1 As 0.5000 0.5000 0.5000 1
```

Properties
Crystal system: cubic
Total moment: 0.00 μB/atom
Electronic total energy: -1.2520 eV per atom
Energy above the most stable polymorph in this dataset: 0 meV/atom
E_form: 0.1228 eV per atom
V: 161.9 Å³/f.u.